TaMnH2 PBE relaxed; SG = No. 160; energy above the most stable polymorph in this dataset = 0.88 eV/f.u.; magnetic moment = 2.943 μB per cell; E = -6.76 eV per atom; density = 10.853 g/cm3; V = 36.4 Å³/f.u.
1.0
1.435 0.828 5.104
-1.435 0.828 5.104
0.000 -1.657 5.104
Ta Mn H
1 1 2
Direct
0.000 0.000 0.000
0.173 0.173 0.173
0.578 0.578 0.578
0.760 0.760 0.760